Entry 1:
Computed, not measured: a relaxed BaHgO crystal at the PBE-GGA level of DFT.

Results
raw total energy	-0.1423	hartree per atom
size of the total moment	0.00	μB/cell
formation energy (no corrections)	-1.477	eV per atom
energy relative to the lowest polymorph listed for this composition	89	meV per atom

Geometry as POSCAR:
```
BaHgO
1.0
-1.873 1.873 6.515
1.873 -1.873 6.515
1.873 1.873 -6.515
Ba Hg O
1 1 1
direct
0.000 0.000 0.000
0.272 0.272 0.000
0.464 0.464 0.000
```

Entry 2:
Computed, not measured: a relaxed BaHg3O crystal at the PBE-GGA level of DFT.

Results
raw total energy	-0.0373	hartree per atom
size of the total moment	1.00	μB/cell
formation energy (no corrections)	0.542	eV per atom
N(E_F)	13.38	states/eV per cell
energy relative to the lowest polymorph listed for this composition	671	meV per atom

Geometry as POSCAR:
```
BaHg3O
1.0
6.923 0.000 0.000
0.000 6.923 0.000
0.000 0.000 6.923
Ba Hg O
1 3 1
direct
0.000 0.000 0.000
0.000 0.000 0.500
0.000 0.500 0.000
0.500 0.000 0.000
0.500 0.500 0.500
```

Entry 3:
Computed, not measured: a relaxed BaHg3O crystal at the PBE-GGA level of DFT.

Results
raw total energy	-0.0620	hartree per atom
size of the total moment	0.00	μB/cell
formation energy (no corrections)	-0.129	eV per atom
N(E_F)	3.87	states/eV per cell
energy relative to the lowest polymorph listed for this composition	0	meV per atom

Geometry as POSCAR:
```
BaHg3O
1.0
5.210 0.000 0.000
0.000 5.210 0.000
0.000 0.000 5.210
Ba Hg O
1 3 1
direct
0.000 0.000 0.000
0.000 0.500 0.500
0.500 0.000 0.500
0.500 0.500 0.000
0.500 0.500 0.500
```

Entry 4:
Computed, not measured: a relaxed Ba2HgO2 crystal at the PBE-GGA level of DFT.

Results
raw total energy	-0.1700	hartree per atom
size of the total moment	0.00	μB/cell
formation energy (no corrections)	-1.813	eV per atom
N(E_F)	0.00	states/eV per cell

Geometry as POSCAR:
```
Ba2HgO2
1.0
-2.383 2.383 6.626
2.383 -2.383 6.626
2.383 2.383 -6.626
Ba Hg O
2 1 2
direct
0.175 0.175 0.000
0.825 0.825 0.000
0.500 0.500 0.000
0.250 0.750 0.500
0.750 0.250 0.500
```

Which value of raw total energy does entry 3 give? -0.0620 hartree per atom

Which of these has the lowest formation energy (no corrections)? Ba2HgO2

Which of these has the lowest raw total energy? Ba2HgO2